Entry from Alexandria via LeMat-Bulk: a geometry-optimized MgReTeN2 structure (PBE).

a b c (Å): 3.908 3.908 5.854
angles (deg): 90.00 90.00 90.00
Sites, in units of the cell vectors:
Re 0.000 0.000 0.000
Mg 0.500 0.500 0.500
Te 0.000 0.000 0.500
N 0.000 0.500 0.000
N 0.500 0.000 0.000

Output
**Polymorph energy (0 for the lowest one)**: 0 meV per atom
**DOS at the Fermi energy**: 3.2 states/eV/f.u.
**SG**: No. 123
**Total magnetic moment**: 0.0 μB/f.u.
**Final energy**: -6.5259 eV per atom